1.
Here is an optimized crystal structure of Th2Ge3Pt5 from the Alexandria database. Energies are from PBE.

The calculation puts the total energy at -6.7301 eV per atom.

The structure belongs to space group Cmc2_1 (No. 36); the cell edges are 4.245, 24.660 and 7.588 Å and the angles 90.00°, 90.00° and 90.00°. The inequivalent atoms are Th at (0.000, 0.015, 0.000), Th at (0.000, 0.320, 0.038), Ge at (0.000, 0.106, 0.725), Ge at (0.000, 0.290, 0.586), Ge at (0.000, 0.424, 0.738), Pt at (0.000, 0.102, 0.391), Pt at (0.000, 0.202, 0.863), Pt at (0.000, 0.225, 0.283), Pt at (0.000, 0.379, 0.427) and Pt at (0.000, 0.469, 0.220).

---

2.
Here is an optimized crystal structure of ThGe2Pt3 from the Alexandria database. Energies are from PBE.

The calculation puts the total energy at -6.6529 eV per atom.

The structure belongs to space group P-1 (No. 2); the cell edges are 4.153, 8.627 and 10.176 Å and the angles 107.29°, 90.14° and 103.84°. The inequivalent atoms are Th at (0.000, 0.000, 0.000), Th at (0.154, 0.308, 0.689), Ge at (0.201, 0.400, 0.129), Ge at (0.363, 0.726, 0.557), Ge at (0.462, 0.925, 0.224), Pt at (0.040, 0.080, 0.333), Pt at (0.225, 0.450, 0.386), Pt at (0.324, 0.648, 0.045), Pt at (0.383, 0.772, 0.817) and Pt at (0.500, 0.000, 0.500).

---

3.
Here is an optimized crystal structure of Th2GePt3 from the Alexandria database. Energies are from PBE.

The calculation puts the total energy at -7.3680 eV per atom.

The structure belongs to space group Fmmm (No. 69); the cell edges are 7.447, 8.687 and 16.271 Å and the angles 90.00°, 90.00° and 90.00°. The inequivalent atoms are Th at (0.243, 0.000, 0.000), Th at (0.250, 0.250, 0.250), Ge at (0.000, 0.000, 0.339), Pt at (0.000, 0.000, 0.184) and Pt at (0.000, 0.247, 0.417).